i | Material: CsSe2IBr
Method: DFT, GGA-PBE
State: relaxed

Output
M_tot in Bohr magnetons per cell: 0.00
Space-group type: P4/mmm (123)

Lattice parameters (Å, degrees): 5.513 5.513 6.113 90.00 90.00 90.00
Sites, in units of the cell vectors:
Cs  0.000  0.000  0.000
Se  0.000  0.500  0.500
Se  0.500  0.000  0.500
I  0.500  0.500  0.500
Br  0.500  0.500  0.000

***

ii | Material: CsSe2IBr
Method: DFT, GGA-PBE
State: relaxed

Output
M_tot in Bohr magnetons per cell: 3.34
Space-group type: P4/mmm (123)

Lattice parameters (Å, degrees): 5.798 5.798 6.620 90.00 90.00 90.00
Sites, in units of the cell vectors:
Cs  0.000  0.000  0.000
Se  0.000  0.500  0.000
Se  0.500  0.000  0.000
I  0.500  0.500  0.500
Br  0.000  0.000  0.500

***

Most favorable first, least favorable last: i, ii

***

i | Material: Cs2ZrIBr6
Method: DFT, GGA-PBE
State: relaxed

Output
M_tot in Bohr magnetons per cell: 1.02
Space-group type: C2 (5)

Lattice parameters (Å, degrees): 7.664 7.664 9.149 110.35 110.35 61.37
Sites, in units of the cell vectors:
Cs  0.210  0.210  0.262
Cs  0.790  0.790  0.738
Zr  0.486  0.514  0.000
I  0.747  0.253  0.500
Br  0.177  0.670  0.136
Br  0.314  0.312  0.739
Br  0.330  0.823  0.864
Br  0.653  0.176  0.117
Br  0.688  0.686  0.261
Br  0.824  0.347  0.883

***

ii | Material: Cs2ZrIBr6
Method: DFT, GGA-PBE
State: relaxed

Output
M_tot in Bohr magnetons per cell: 0.00
Space-group type: I4/mmm (139)

Lattice parameters (Å, degrees): 8.578 8.578 8.578 116.54 116.54 96.11
Sites, in units of the cell vectors:
Cs  0.250  0.750  0.500
Cs  0.750  0.250  0.500
Zr  0.000  0.000  0.000
I  0.500  0.500  0.000
Br  0.207  0.207  0.415
Br  0.207  0.793  0.000
Br  0.233  0.233  0.000
Br  0.767  0.767  0.000
Br  0.793  0.207  0.000
Br  0.793  0.793  0.585

***

Most favorable first, least favorable last: i, ii

***

i | Material: Cs2InBr3
Method: DFT, GGA-PBE
State: relaxed

Output
M_tot in Bohr magnetons per cell: 0.00
Space-group type: Cmcm (63)

Lattice parameters (Å, degrees): 13.498 13.498 8.831 90.00 90.00 159.94
Sites, in units of the cell vectors:
Cs  0.010  0.990  0.750
Cs  0.157  0.843  0.250
Cs  0.843  0.157  0.750
Cs  0.990  0.010  0.250
In  0.337  0.663  0.250
In  0.663  0.337  0.750
Br  0.240  0.760  0.750
Br  0.421  0.579  0.515
Br  0.421  0.579  0.985
Br  0.579  0.421  0.015
Br  0.579  0.421  0.485
Br  0.760  0.240  0.250

***

ii | Material: Cs2InBr3
Method: DFT, GGA-PBE
State: relaxed

Output
M_tot in Bohr magnetons per cell: 0.00
Space-group type: R-3c (167)

Lattice parameters (Å, degrees): 9.981 9.981 9.981 50.54 50.54 50.54
Sites, in units of the cell vectors:
Cs  0.171  0.171  0.171
Cs  0.329  0.329  0.329
Cs  0.671  0.671  0.671
Cs  0.829  0.829  0.829
In  0.000  0.000  0.000
In  0.500  0.500  0.500
Br  0.110  0.750  0.390
Br  0.250  0.610  0.890
Br  0.390  0.110  0.750
Br  0.610  0.890  0.250
Br  0.750  0.390  0.110
Br  0.890  0.250  0.610

***

Most favorable first, least favorable last: ii, i

***

i | Material: Cs2InBr
Method: DFT, GGA-PBE
State: relaxed

Output
M_tot in Bohr magnetons per cell: 2.00
Space-group type: Fm-3m (225)

Lattice parameters (Å, degrees): 6.572 6.572 6.572 60.00 60.00 60.00
Sites, in units of the cell vectors:
Cs  0.250  0.250  0.250
Cs  0.750  0.750  0.750
In  0.000  0.000  0.000
Br  0.500  0.500  0.500

***

ii | Material: Cs2InBr
Method: DFT, GGA-PBE
State: relaxed

Output
M_tot in Bohr magnetons per cell: 0.00
Space-group type: I-42d (122)

Lattice parameters (Å, degrees): 8.514 8.514 8.514 106.19 106.19 116.25
Sites, in units of the cell vectors:
Cs  0.077  0.625  0.952
Cs  0.375  0.327  0.452
Cs  0.673  0.125  0.048
Cs  0.875  0.923  0.548
In  0.250  0.750  0.500
In  0.500  0.500  0.000
Br  0.000  0.000  0.000
Br  0.750  0.250  0.500

***

Most favorable first, least favorable last: ii, i

***

i | Material: Cs3In2Br7
Method: DFT, GGA-PBE
State: relaxed

Output
M_tot in Bohr magnetons per cell: 0.00
Space-group type: I4/mmm (139)

Lattice parameters (Å, degrees): 15.435 15.435 15.435 158.55 158.55 30.52
Sites, in units of the cell vectors:
Cs  0.000  0.000  0.000
Cs  0.182  0.182  0.000
Cs  0.818  0.818  0.000
In  0.401  0.401  0.000
In  0.599  0.599  0.000
Br  0.097  0.597  0.500
Br  0.304  0.304  0.000
Br  0.403  0.903  0.500
Br  0.500  0.500  0.000
Br  0.597  0.097  0.500
Br  0.696  0.696  0.000
Br  0.903  0.403  0.500

***

ii | Material: Cs3In2Br7
Method: DFT, GGA-PBE
State: relaxed

Output
M_tot in Bohr magnetons per cell: 0.00
Space-group type: Cmmm (65)

Lattice parameters (Å, degrees): 14.824 14.824 5.652 90.00 90.00 157.24
Sites, in units of the cell vectors:
Cs  0.000  0.000  0.000
Cs  0.184  0.816  0.000
Cs  0.816  0.184  0.000
In  0.398  0.602  0.500
In  0.602  0.398  0.500
Br  0.098  0.902  0.500
Br  0.300  0.700  0.500
Br  0.401  0.599  0.000
Br  0.500  0.500  0.500
Br  0.599  0.401  0.000
Br  0.700  0.300  0.500
Br  0.902  0.098  0.500

***

Most favorable first, least favorable last: i, ii

***

i | Material: Cs2TlInBr6
Method: DFT, GGA-PBE
State: relaxed

Output
M_tot in Bohr magnetons per cell: 0.00
Space-group type: Fm-3m (225)

Lattice parameters (Å, degrees): 8.328 8.328 8.328 60.00 60.00 60.00
Sites, in units of the cell vectors:
Cs  0.250  0.250  0.250
Cs  0.750  0.750  0.750
Tl  0.000  0.000  0.000
In  0.500  0.500  0.500
Br  0.269  0.269  0.731
Br  0.269  0.731  0.269
Br  0.269  0.731  0.731
Br  0.731  0.269  0.269
Br  0.731  0.269  0.731
Br  0.731  0.731  0.269

***

ii | Material: Cs2TlInBr6
Method: DFT, GGA-PBE
State: relaxed

Output
M_tot in Bohr magnetons per cell: 0.00
Space-group type: P2_1/c (14)

Lattice parameters (Å, degrees): 8.213 8.394 14.315 90.00 124.82 90.00
Sites, in units of the cell vectors:
Cs  0.235  0.053  0.249
Cs  0.235  0.447  0.749
Cs  0.765  0.553  0.251
Cs  0.765  0.947  0.751
Tl  0.500  0.000  0.000
Tl  0.500  0.500  0.500
In  0.000  0.000  0.500
In  0.000  0.500  0.000
Br  0.153  0.232  0.968
Br  0.153  0.268  0.468
Br  0.235  0.686  0.966
Br  0.235  0.814  0.466
Br  0.291  0.007  0.728
Br  0.291  0.493  0.228
Br  0.709  0.507  0.772
Br  0.709  0.993  0.272
Br  0.765  0.186  0.534
Br  0.765  0.314  0.034
Br  0.847  0.732  0.532
Br  0.847  0.768  0.032

***

Most favorable first, least favorable last: ii, i

***

i | Material: Cs2YInBr6
Method: DFT, GGA-PBE
State: relaxed

Output
M_tot in Bohr magnetons per cell: 0.00
Space-group type: Fm-3m (225)

Lattice parameters (Å, degrees): 8.467 8.467 8.467 60.00 60.00 60.00
Sites, in units of the cell vectors:
Cs  0.250  0.250  0.250
Cs  0.750  0.750  0.750
Y  0.000  0.000  0.000
In  0.500  0.500  0.500
Br  0.234  0.234  0.766
Br  0.234  0.766  0.234
Br  0.234  0.766  0.766
Br  0.766  0.234  0.234
Br  0.766  0.234  0.766
Br  0.766  0.766  0.234

***

ii | Material: Cs2YInBr6
Method: DFT, GGA-PBE
State: relaxed

Output
M_tot in Bohr magnetons per cell: 0.00
Space-group type: P2_1/c (14)

Lattice parameters (Å, degrees): 8.246 8.582 14.428 90.00 124.69 90.00
Sites, in units of the cell vectors:
Cs  0.232  0.062  0.250
Cs  0.232  0.438  0.750
Cs  0.768  0.562  0.250
Cs  0.768  0.938  0.750
Y  0.500  0.000  0.000
Y  0.500  0.500  0.500
In  0.000  0.000  0.500
In  0.000  0.500  0.000
Br  0.183  0.184  0.961
Br  0.183  0.316  0.461
Br  0.278  0.726  0.960
Br  0.278  0.774  0.460
Br  0.347  0.016  0.769
Br  0.347  0.484  0.269
Br  0.653  0.516  0.731
Br  0.653  0.984  0.231
Br  0.722  0.226  0.540
Br  0.722  0.274  0.040
Br  0.817  0.684  0.539
Br  0.817  0.816  0.039

***

Most favorable first, least favorable last: ii, i

***

i | Material: Cs2ZrInBr6
Method: DFT, GGA-PBE
State: relaxed

Output
M_tot in Bohr magnetons per cell: 2.01
Space-group type: R-3m (166)

Lattice parameters (Å, degrees): 15.815 15.815 15.815 29.51 29.51 29.51
Sites, in units of the cell vectors:
Cs  0.134  0.134  0.134
Cs  0.304  0.304  0.304
Cs  0.696  0.696  0.696
Cs  0.866  0.866  0.866
Zr  0.000  0.000  0.000
Zr  0.500  0.500  0.500
In  0.419  0.419  0.419
In  0.581  0.581  0.581
Br  0.136  0.632  0.632
Br  0.193  0.193  0.719
Br  0.193  0.719  0.193
Br  0.281  0.807  0.807
Br  0.368  0.368  0.864
Br  0.368  0.864  0.368
Br  0.632  0.136  0.632
Br  0.632  0.632  0.136
Br  0.719  0.193  0.193
Br  0.807  0.281  0.807
Br  0.807  0.807  0.281
Br  0.864  0.368  0.368

***

ii | Material: Cs2ZrInBr6
Method: DFT, GGA-PBE
State: relaxed

Output
M_tot in Bohr magnetons per cell: 1.00
Space-group type: Fm-3m (225)

Lattice parameters (Å, degrees): 8.322 8.322 8.322 60.00 60.00 60.00
Sites, in units of the cell vectors:
Cs  0.250  0.250  0.250
Cs  0.750  0.750  0.750
Zr  0.000  0.000  0.000
In  0.500  0.500  0.500
Br  0.231  0.231  0.769
Br  0.231  0.769  0.231
Br  0.231  0.769  0.769
Br  0.769  0.231  0.231
Br  0.769  0.231  0.769
Br  0.769  0.769  0.231

***

Most favorable first, least favorable last: i, ii

***

i | Material: CsIrBr2
Method: DFT, GGA-PBE
State: relaxed

Output
M_tot in Bohr magnetons per cell: 0.00
Space-group type: I-42d (122)

Lattice parameters (Å, degrees): 8.560 8.560 8.560 135.00 135.00 65.53
Sites, in units of the cell vectors:
Cs  0.000  0.000  0.000
Cs  0.750  0.250  0.500
Ir  0.250  0.750  0.500
Ir  0.500  0.500  0.000
Br  0.276  0.625  0.151
Br  0.375  0.526  0.651
Br  0.474  0.125  0.849
Br  0.875  0.724  0.349

***

ii | Material: CsIrBr2
Method: DFT, GGA-PBE
State: relaxed

Output
M_tot in Bohr magnetons per cell: 2.10
Space-group type: Fm-3m (225)

Lattice parameters (Å, degrees): 5.402 5.402 5.402 60.00 60.00 60.00
Sites, in units of the cell vectors:
Cs  0.000  0.000  0.000
Ir  0.500  0.500  0.500
Br  0.250  0.250  0.250
Br  0.750  0.750  0.750

***

iii | Material: CsIrBr2
Method: DFT, GGA-PBE
State: relaxed

Output
M_tot in Bohr magnetons per cell: 2.00
Space-group type: R-3m (166)

Lattice parameters (Å, degrees): 7.975 7.975 7.975 44.24 44.24 44.24
Sites, in units of the cell vectors:
Cs  0.000  0.000  0.000
Ir  0.500  0.500  0.500
Br  0.389  0.389  0.389
Br  0.611  0.611  0.611

***

Most favorable first, least favorable last: i, iii, ii

***

i | Material: Cs2LiIrBr6
Method: DFT, GGA-PBE
State: relaxed

Output
M_tot in Bohr magnetons per cell: 0.00
Space-group type: I4/mmm (139)

Lattice parameters (Å, degrees): 7.640 7.640 7.640 120.07 120.07 89.88
Sites, in units of the cell vectors:
Cs  0.250  0.750  0.500
Cs  0.750  0.250  0.500
Li  0.000  0.000  0.000
Ir  0.500  0.500  0.000
Br  0.265  0.265  0.530
Br  0.265  0.735  0.000
Br  0.266  0.266  0.000
Br  0.734  0.734  0.000
Br  0.735  0.265  0.000
Br  0.735  0.735  0.470

***

ii | Material: Cs2LiIrBr6
Method: DFT, GGA-PBE
State: relaxed

Output
M_tot in Bohr magnetons per cell: 0.00
Space-group type: Pmmn (59)

Lattice parameters (Å, degrees): 8.039 9.637 8.568 90.00 90.00 90.00
Sites, in units of the cell vectors:
Cs  0.250  0.008  0.227
Cs  0.250  0.492  0.227
Cs  0.750  0.508  0.773
Cs  0.750  0.992  0.773
Li  0.250  0.750  0.604
Li  0.750  0.250  0.396
Ir  0.250  0.250  0.745
Ir  0.750  0.750  0.255
Br  0.031  0.250  0.529
Br  0.031  0.250  0.952
Br  0.250  0.513  0.758
Br  0.250  0.987  0.758
Br  0.469  0.250  0.529
Br  0.469  0.250  0.952
Br  0.531  0.750  0.048
Br  0.531  0.750  0.471
Br  0.750  0.013  0.242
Br  0.750  0.487  0.242
Br  0.969  0.750  0.048
Br  0.969  0.750  0.471

***

Most favorable first, least favorable last: ii, i